Crystalline Tl2PBr at its relaxed geometry. Source: Alexandria via LeMat-Bulk, functional PBE.

Distance to the lowest polymorph of the same formula, kcal/mol of atoms: 3.136

Lattice parameters (Å, degrees): 6.111 6.111 5.203 89.98 89.98 35.09
Element x y z (fractional)
Br  0.494  0.494  0.624
Tl  0.995  0.995  0.125
Tl  0.754  0.754  0.626
P  0.258  0.258  0.125

Crystalline TlP2Br8 at its relaxed geometry. Source: Alexandria via LeMat-Bulk, functional PBE.

Lattice parameters (Å, degrees): 8.197 7.878 7.878 93.37 85.25 85.25
Element x y z (fractional)
P  0.343  0.297  0.297
P  0.657  0.703  0.703
Br  0.794  0.927  0.618
Br  0.206  0.073  0.382
Br  0.252  0.502  0.502
Br  0.206  0.382  0.073
Br  0.748  0.498  0.498
Br  0.703  0.159  0.159
Br  0.794  0.618  0.927
Br  0.297  0.841  0.841
Tl  0.000  0.000  0.000

Crystalline TlPBr2 at its relaxed geometry. Source: Alexandria via LeMat-Bulk, functional PBE.

Distance to the lowest polymorph of the same formula, kcal/mol of atoms: 4.879

Lattice parameters (Å, degrees): 3.913 3.913 9.446 90.00 90.00 125.06
Element x y z (fractional)
Br  0.000  0.000  0.445
Br  0.000  0.000  0.055
Tl  0.500  0.500  0.750
P  0.500  0.500  0.250

Crystalline TlPBr4 at its relaxed geometry. Source: Alexandria via LeMat-Bulk, functional PBE.

Distance to the lowest polymorph of the same formula, kcal/mol of atoms: 25.078

Lattice parameters (Å, degrees): 6.444 6.444 6.444 60.00 60.00 60.00
Element x y z (fractional)
Br  0.875  0.375  0.375
Br  0.375  0.375  0.375
Br  0.375  0.375  0.875
Br  0.375  0.875  0.375
P  0.750  0.750  0.750
Tl  0.000  0.000  0.000

Table of energy relative to the elements, uncorrected (kJ per mole of atoms), in record order: 2.55, -31.82, 11.38, 58.60
Table of total DFT energy (no corrections) (eV/cell), in record order: -11.71, -30.20, -10.65, -10.82